[1]
# InPt3F | Alexandria via LeMat-Bulk | PBE-GGA | optimized geometry
# Total moment   0.0 μB/f.u.
# Relative energy among the computed polymorphs   694.4 meV per atom
# Energy relative to the elements, uncorrected   5.79 eV per formula unit
# Density of states at the Fermi level   0.69 states/eV per atom
# Energy   -3.389 eV/atom
data_InPt3F
_cell_length_a 5.016
_cell_length_b 5.016
_cell_length_c 5.016
_cell_angle_alpha 90.00
_cell_angle_beta 90.00
_cell_angle_gamma 90.00
_space_group_name_H-M_alt 'P m -3 m'
_space_group_IT_number 221
_space_group_name_Hall '-P 4 2 3'
loop_
_atom_site_label
_atom_site_fract_x
_atom_site_fract_y
_atom_site_fract_z
_atom_site_occupancy
In1 0.000 0.000 0.000 1
Pt1 0.000 0.000 0.500 1
F1 0.500 0.500 0.500 1



[2]
# Co2TcIr | Alexandria via LeMat-Bulk | PBE-GGA | optimized geometry
# Total moment   0.0 μB/f.u.
# Formation enthalpy at 0 K   0.22 kcal/mol of atoms
# Relative energy among the computed polymorphs   27.7 meV per atom
# Density of states at the Fermi level   1.18 states/eV per atom
# Energy   -8.350 eV/atom
data_Co2TcIr
_cell_length_a 3.987
_cell_length_b 2.617
_cell_length_c 9.533
_cell_angle_alpha 90.00
_cell_angle_beta 90.00
_cell_angle_gamma 90.00
_space_group_name_H-M_alt 'A m m 2'
_space_group_IT_number 38
_space_group_name_Hall 'A 2 -2'
loop_
_atom_site_label
_atom_site_fract_x
_atom_site_fract_y
_atom_site_fract_z
_atom_site_occupancy
Co1 0.000 0.000 0.000 1
Co2 0.500 0.000 0.131 1
Tc1 0.500 0.000 0.395 1
Ir1 0.000 0.000 0.736 1



[3]
# TbCeAl | Alexandria via LeMat-Bulk | PBE-GGA | optimized geometry
# Total moment   0.0 μB/f.u.
# Formation enthalpy at 0 K   -5.11 kcal/mol of atoms
# Relative energy among the computed polymorphs   0.0 meV per atom
# Density of states at the Fermi level   1.58 states/eV per atom
# Energy   -4.990 eV/atom
data_TbCeAl
_cell_length_a 3.357
_cell_length_b 5.194
_cell_length_c 8.676
_cell_angle_alpha 89.92
_cell_angle_beta 79.46
_cell_angle_gamma 89.98
_space_group_name_H-M_alt 'P -1'
_space_group_IT_number 2
_space_group_name_Hall '-P 1'
loop_
_atom_site_label
_atom_site_fract_x
_atom_site_fract_y
_atom_site_fract_z
_atom_site_occupancy
Tb1 0.069 0.250 0.377 1
Ce1 0.240 0.750 0.975 1
Al1 0.399 0.249 0.710 1



[4]
# Ta8MoW2 | Alexandria via LeMat-Bulk | PBE-GGA | optimized geometry
# Total moment   0.0 μB/f.u.
# Formation enthalpy at 0 K   -1.96 kcal/mol of atoms
# Relative energy among the computed polymorphs   0.0 meV per atom
# Density of states at the Fermi level   0.99 states/eV per atom
# Energy   -12.045 eV/atom
data_Ta8MoW2
_cell_length_a 13.462
_cell_length_b 4.648
_cell_length_c 7.111
_cell_angle_alpha 90.00
_cell_angle_beta 119.64
_cell_angle_gamma 90.00
_space_group_name_H-M_alt 'C 1 2/m 1'
_space_group_IT_number 12
_space_group_name_Hall '-C 2y'
loop_
_atom_site_label
_atom_site_fract_x
_atom_site_fract_y
_atom_site_fract_z
_atom_site_occupancy
Ta1 0.050 0.000 0.225 1
Ta2 0.094 0.500 0.952 1
Ta3 0.136 0.000 0.686 1
Ta4 0.180 0.500 0.418 1
Mo1 0.000 0.500 0.500 1
W1 0.225 0.000 0.135 1



[5]
# ZnCdF4 | Alexandria via LeMat-Bulk | PBE-GGA | optimized geometry
# Total moment   0.0 μB/f.u.
# Relative energy among the computed polymorphs   0.0 meV per atom
# Energy relative to the elements, uncorrected   -13.48 eV per formula unit
# Density of states at the Fermi level   0.00 states/eV per atom
# Energy   -3.860 eV/atom
data_ZnCdF4
_cell_length_a 5.940
_cell_length_b 5.068
_cell_length_c 5.948
_cell_angle_alpha 90.00
_cell_angle_beta 110.52
_cell_angle_gamma 90.00
_space_group_name_H-M_alt 'P 1 21/c 1'
_space_group_IT_number 14
_space_group_name_Hall '-P 2ybc'
loop_
_atom_site_label
_atom_site_fract_x
_atom_site_fract_y
_atom_site_fract_z
_atom_site_occupancy
Zn1 0.000 0.000 0.000 1
Cd1 0.500 0.000 0.500 1
F1 0.131 0.208 0.327 1
F2 0.335 0.662 0.625 1



[6]
# AuSeCl | Alexandria via LeMat-Bulk | PBE-GGA | optimized geometry
# Total moment   0.0 μB/f.u.
# Energy relative to the elements, uncorrected   1.61 eV per formula unit
# Density of states at the Fermi level   1.66 states/eV per atom
# Energy   -2.333 eV/atom
data_AuSeCl
_cell_length_a 6.562
_cell_length_b 6.562
_cell_length_c 6.562
_cell_angle_alpha 90.00
_cell_angle_beta 90.00
_cell_angle_gamma 90.00
_space_group_name_H-M_alt 'F -4 3 m'
_space_group_IT_number 216
_space_group_name_Hall 'F -4 2 3'
loop_
_atom_site_label
_atom_site_fract_x
_atom_site_fract_y
_atom_site_fract_z
_atom_site_occupancy
Au1 0.000 0.000 0.000 1
Se1 0.250 0.250 0.750 1
Cl1 0.000 0.000 0.500 1